## i
The following is a PBE calculation of LaNbC2 after structural relaxation, from the Alexandria database. Values from VASP.

```
&SYSTEM
  ibrav = 0, nat = 4, ntyp = 3
/
ATOMIC_SPECIES
La 138.91 La.upf
C 12.01 C.upf
Nb 92.91 Nb.upf
ATOMIC_POSITIONS crystal
La 0.500 0.500 0.500
C 0.733 0.733 0.800
C 0.267 0.267 0.200
Nb 0.000 0.000 0.000
CELL_PARAMETERS angstrom
-3.204 -0.614 -0.865
-0.835 -0.336 -3.253
-0.309 -6.212 -1.029
```


## ii
The following is a PBE calculation of LaNbC2 after structural relaxation, from the Alexandria database. Values from VASP.

```
&SYSTEM
  ibrav = 0, nat = 8, ntyp = 3
/
ATOMIC_SPECIES
C 12.01 C.upf
La 138.91 La.upf
Nb 92.91 Nb.upf
ATOMIC_POSITIONS crystal
C 0.375 0.446 0.750
C 0.196 0.625 0.250
C 0.875 0.804 0.750
C 0.554 0.125 0.250
La 0.000 0.000 0.000
La 0.750 0.250 0.500
Nb 0.500 0.500 0.000
Nb 0.250 0.750 0.500
CELL_PARAMETERS angstrom
5.911 0.000 0.000
0.000 5.911 0.000
2.956 2.956 3.989
```


## iii
The following is a PBE calculation of LaNbC2 after structural relaxation, from the Alexandria database. Values from VASP.

```
&SYSTEM
  ibrav = 0, nat = 4, ntyp = 3
/
ATOMIC_SPECIES
C 12.01 C.upf
La 138.91 La.upf
Nb 92.91 Nb.upf
ATOMIC_POSITIONS crystal
C 0.250 0.250 0.250
C 0.750 0.750 0.750
La 0.500 0.500 0.500
Nb 0.000 0.000 0.000
CELL_PARAMETERS angstrom
0.000 3.038 3.038
3.038 0.000 3.038
3.038 3.038 0.000
```


In terms of stability, i leads; the second structure lies 81 meV/atom higher.


## i
The following is a PBE calculation of LaNbC3 after structural relaxation, from the Alexandria database. Values from VASP.

```
&SYSTEM
  ibrav = 0, nat = 5, ntyp = 3
/
ATOMIC_SPECIES
Nb 92.91 Nb.upf
C 12.01 C.upf
La 138.91 La.upf
ATOMIC_POSITIONS crystal
Nb 0.000 0.000 0.000
C 0.000 0.500 0.000
C 0.000 0.000 0.500
C 0.500 0.000 0.000
La 0.500 0.500 0.500
CELL_PARAMETERS angstrom
-1.538 3.595 -1.619
-2.885 -2.211 -2.169
-2.688 0.315 3.254
```


## ii
The following is a PBE calculation of LaNbC3 after structural relaxation, from the Alexandria database. Values from VASP.

```
&SYSTEM
  ibrav = 0, nat = 5, ntyp = 3
/
ATOMIC_SPECIES
C 12.01 C.upf
Nb 92.91 Nb.upf
La 138.91 La.upf
ATOMIC_POSITIONS crystal
C 0.500 0.000 0.000
C 0.000 0.500 0.000
C 0.000 0.000 0.500
Nb 0.500 0.500 0.500
La 0.000 0.000 0.000
CELL_PARAMETERS angstrom
-3.516 0.079 -2.348
-1.147 -3.746 1.592
-2.050 1.961 3.136
```


In terms of stability, i leads; the second structure lies 1994 meV/atom higher.


## i
The following is a PBE calculation of LaNd2C after structural relaxation, from the Alexandria database. Values from VASP.

```
&SYSTEM
  ibrav = 0, nat = 16, ntyp = 3
/
ATOMIC_SPECIES
La 138.91 La.upf
Nd 144.24 Nd.upf
C 12.01 C.upf
ATOMIC_POSITIONS crystal
La 0.943 0.250 0.250
La 0.557 0.750 0.250
La 0.057 0.750 0.750
La 0.443 0.250 0.750
Nd 0.895 0.250 0.903
Nd 0.105 0.750 0.097
Nd 0.895 0.250 0.597
Nd 0.105 0.750 0.403
Nd 0.395 0.250 0.403
Nd 0.605 0.750 0.597
Nd 0.605 0.750 0.903
Nd 0.395 0.250 0.097
C 0.250 0.000 0.250
C 0.750 0.000 0.750
C 0.750 0.500 0.750
C 0.250 0.500 0.250
CELL_PARAMETERS angstrom
6.540 0.000 0.000
0.000 6.443 0.000
0.000 0.000 11.305
```


## ii
The following is a PBE calculation of LaNd2C after structural relaxation, from the Alexandria database. Values from VASP.

```
&SYSTEM
  ibrav = 0, nat = 4, ntyp = 3
/
ATOMIC_SPECIES
La 138.91 La.upf
C 12.01 C.upf
Nd 144.24 Nd.upf
ATOMIC_POSITIONS crystal
La 0.000 0.000 0.000
C 0.500 0.500 0.500
Nd 0.120 0.120 0.639
Nd 0.880 0.880 0.361
CELL_PARAMETERS angstrom
3.647 0.000 0.000
1.823 3.158 0.000
1.823 1.053 10.229
```


In terms of stability, i leads; the second structure lies 6 meV/atom higher.


## i
The following is a PBE calculation of La2NdC after structural relaxation, from the Alexandria database. Values from VASP.

```
&SYSTEM
  ibrav = 0, nat = 4, ntyp = 3
/
ATOMIC_SPECIES
Nd 144.24 Nd.upf
C 12.01 C.upf
La 138.91 La.upf
ATOMIC_POSITIONS crystal
Nd 0.000 0.000 0.000
C 0.500 0.500 0.500
La 0.119 0.119 0.643
La 0.881 0.881 0.357
CELL_PARAMETERS angstrom
3.680 0.000 0.000
1.840 3.187 0.000
1.840 1.062 10.264
```


## ii
The following is a PBE calculation of La2NdC after structural relaxation, from the Alexandria database. Values from VASP.

```
&SYSTEM
  ibrav = 0, nat = 8, ntyp = 3
/
ATOMIC_SPECIES
C 12.01 C.upf
La 138.91 La.upf
Nd 144.24 Nd.upf
ATOMIC_POSITIONS crystal
C 0.000 0.250 0.000
C 0.000 0.750 0.000
La 0.145 0.072 0.289
La 0.145 0.572 0.289
La 0.855 0.428 0.711
La 0.855 0.928 0.711
Nd 0.500 0.750 0.000
Nd 0.500 0.250 0.000
CELL_PARAMETERS angstrom
-3.317 -3.351 2.401
1.144 -4.966 -5.352
6.083 0.547 3.338
```


In terms of stability, ii leads; the second structure lies 41 meV/atom higher.